Record 1
The following is a PBE calculation of a geometry-optimized LiGaReAg2 structure, from the Alexandria database.

Computed properties:
* spin magnetization: 0.09 μB/atom
* ΔE_f: 0.970 eV per atom

Unit cell a=4.225 b=4.581 c=4.225 alpha=90.00 beta=90.00 gamma=90.00
Atoms (fractional coordinates):
Re  0.000  0.500  0.000
Ga  0.500  0.500  0.500
Ag  0.000  0.000  0.500
Ag  0.500  0.000  0.000
Li  0.000  0.000  0.000



Record 2
The following is a PBE calculation of a geometry-optimized TmMnH structure, from the Alexandria database.

Computed properties:
* spin magnetization: 0.00 μB/atom
* total DFT energy (no corrections): -5.5851 eV per atom

Unit cell a=3.045 b=3.364 c=8.093 alpha=90.00 beta=100.84 gamma=90.00
Atoms (fractional coordinates):
H  0.451  0.250  0.902
H  0.549  0.750  0.098
Tm  0.903  0.750  0.806
Tm  0.097  0.250  0.194
Mn  0.755  0.250  0.510
Mn  0.245  0.750  0.490



Record 3
The following is a PBE calculation of a geometry-optimized AcPdS2O8 structure, from the Alexandria database.

Computed properties:
* energy relative to the elements, uncorrected: -1.63 eV/atom
* spin magnetization: 0.08 μB/atom

Unit cell a=5.075 b=5.075 c=7.856 alpha=71.16 beta=71.16 gamma=60.00
Atoms (fractional coordinates):
Ac  0.500  0.500  0.500
Pd  0.000  0.000  0.000
S  0.244  0.244  0.267
S  0.756  0.756  0.733
O  0.175  0.175  0.476
O  0.516  0.315  0.207
O  0.825  0.825  0.524
O  0.962  0.516  0.207
O  0.038  0.484  0.793
O  0.315  0.962  0.207
O  0.685  0.038  0.793
O  0.484  0.685  0.793